[1]
# TbGa2Ag3

A geometry-optimized TbGa2Ag3 structure (PBE, the Alexandria database).

The structure in POSCAR format:
```
TbGa2Ag3
1.0
8.7528 -2.1169 0.0000
8.7528 2.1169 0.0000
-3.2335 0.0000 9.6548
Tb Ga Ag
3 6 9
Direct
0.0000 0.0000 0.0000 Tb
0.1550 0.1550 0.7071 Tb
0.8450 0.8450 0.2928 Tb
0.2013 0.2013 0.1332 Ga
0.3614 0.3614 0.5284 Ga
0.4633 0.4633 0.2103 Ga
0.5367 0.5367 0.7897 Ga
0.6386 0.6386 0.4716 Ga
0.7987 0.7987 0.8668 Ga
0.0419 0.0419 0.3393 Ag
0.2122 0.2122 0.3942 Ag
0.3208 0.3208 0.0330 Ag
0.3817 0.3817 0.8049 Ag
0.5000 0.5000 0.5000 Ag
0.6183 0.6183 0.1951 Ag
0.6792 0.6792 0.9670 Ag
0.7878 0.7878 0.6058 Ag
0.9581 0.9581 0.6607 Ag
```

Output
polymorph energy (0 for the lowest one)	2.2	kJ per mole of atoms
ΔE_f	-255	meV/atom



[2]
# Nd2Pb5F16

A geometry-optimized Nd2Pb5F16 structure (PBE, the Alexandria database).

The structure in POSCAR format:
```
Nd2Pb5F16
1.0
3.5519 -2.1059 0.0000
3.5519 2.1059 0.0000
-1.3571 0.0000 24.8011
Nd Pb F
2 5 16
Direct
0.0000 0.0000 0.0000 Nd
0.7215 0.7215 0.1466 Nd
0.0685 0.0685 0.2895 Pb
0.2881 0.2881 0.7116 Pb
0.4489 0.4489 0.4287 Pb
0.6504 0.6504 0.8562 Pb
0.9393 0.9393 0.5701 Pb
0.0323 0.0323 0.0951 F
0.0544 0.0544 0.1940 F
0.0931 0.0931 0.4647 F
0.2637 0.2637 0.6094 F
0.3074 0.3074 0.8221 F
0.3392 0.3392 0.0004 F
0.3827 0.3827 0.1472 F
0.4110 0.4110 0.3208 F
0.5736 0.5736 0.5374 F
0.6316 0.6316 0.7475 F
0.6670 0.6670 0.9541 F
0.6904 0.6904 0.0525 F
0.7280 0.7280 0.2459 F
0.7548 0.7548 0.3914 F
0.9465 0.9465 0.6738 F
0.9925 0.9925 0.8999 F
```

Output
energy	-126.0	eV per cell



[3]
# Be4Cu3Pt

A geometry-optimized Be4Cu3Pt structure (PBE, the Alexandria database).

The structure in POSCAR format:
```
Be4Cu3Pt
1.0
3.8606 0.0000 0.0000
0.0000 3.8606 0.0000
0.0000 0.0000 5.5549
Be Cu Pt
4 3 1
Direct
0.0000 0.5000 0.2442 Be
0.0000 0.5000 0.7558 Be
0.5000 0.0000 0.2442 Be
0.5000 0.0000 0.7558 Be
0.0000 0.0000 0.0000 Cu
0.0000 0.0000 0.5000 Cu
0.5000 0.5000 0.0000 Cu
0.5000 0.5000 0.5000 Pt
```

Output
ΔE_f	-273	meV/atom



[4]
# PmIn3

A geometry-optimized PmIn3 structure (PBE, the Alexandria database).

The structure in POSCAR format:
```
PmIn3
1.0
-2.2884 2.2884 5.0663
2.2884 -2.2884 5.0663
2.2884 2.2884 -5.0663
Pm In
1 3
Direct
0.0000 0.0000 0.0000 Pm
0.2500 0.7500 0.5000 In
0.5000 0.5000 0.0000 In
0.7500 0.2500 0.5000 In
```

Output
ΔE_f	-369	meV/atom



[5]
# La2TlNiN

A geometry-optimized La2TlNiN structure (PBE, the Alexandria database).

The structure in POSCAR format:
```
La2TlNiN
1.0
5.4010 0.0000 0.0000
0.0000 5.4010 0.0000
0.0000 0.0000 3.7698
La Tl Ni N
2 1 1 1
Direct
0.0000 0.5000 0.0000 La
0.5000 0.0000 0.0000 La
0.0000 0.0000 0.5000 Tl
0.5000 0.5000 0.5000 Ni
0.5000 0.5000 0.0000 N
```

Output
energy	-29.2	eV per cell



[6]
# La2PmNi2Ge2

A geometry-optimized La2PmNi2Ge2 structure (PBE, the Alexandria database).

The structure in POSCAR format:
```
La2PmNi2Ge2
1.0
2.1450 1.2384 9.8784
-2.1450 1.2384 9.8784
0.0000 -2.4768 9.8784
La Pm Ni Ge
2 1 2 2
Direct
0.1241 0.1241 0.1241 La
0.8759 0.8759 0.8759 La
0.0000 0.0000 0.0000 Pm
0.3954 0.3954 0.3954 Ni
0.6046 0.6046 0.6046 Ni
0.2683 0.2683 0.2683 Ge
0.7317 0.7317 0.7317 Ge
```

Output
ΔE_f	-612	meV/atom



[7]
# Tb2YGa3

A geometry-optimized Tb2YGa3 structure (PBE, the Alexandria database).

The structure in POSCAR format:
```
Tb2YGa3
1.0
2.5355 -7.6066 0.0000
2.5355 7.6066 0.0000
0.0000 0.0000 3.5788
Tb Y Ga
2 1 3
Direct
0.1670 0.8330 0.0000 Tb
0.8330 0.1670 0.0000 Tb
0.5000 0.5000 0.0000 Y
0.0000 0.0000 0.5000 Ga
0.3339 0.6661 0.5000 Ga
0.6661 0.3339 0.5000 Ga
```

Output
ΔE_f	-593	meV/atom



[8]
# USn2Se4

A geometry-optimized USn2Se4 structure (PBE, the Alexandria database).

The structure in POSCAR format:
```
USn2Se4
1.0
7.9291 0.0000 0.0000
0.0000 13.8035 0.0000
0.0000 0.0000 4.1238
U Sn Se
2 4 8
Direct
0.0000 0.0000 0.0000 U
0.5000 0.5000 0.0000 U
0.1631 0.3453 0.5000 Sn
0.3369 0.8453 0.5000 Sn
0.6631 0.1547 0.5000 Sn
0.8369 0.6547 0.5000 Sn
0.1090 0.8042 0.0000 Se
0.2396 0.0380 0.5000 Se
0.2604 0.5380 0.5000 Se
0.3910 0.3042 0.0000 Se
0.6090 0.6958 0.0000 Se
0.7396 0.4620 0.5000 Se
0.7604 0.9620 0.5000 Se
0.8910 0.1958 0.0000 Se
```

Output
polymorph energy (0 for the lowest one)	0.0	kJ per mole of atoms



[9]
# LiCdPt

A geometry-optimized LiCdPt structure (PBE, the Alexandria database).

The structure in POSCAR format:
```
LiCdPt
1.0
4.1413 0.0000 0.0000
-2.0571 4.2212 0.0000
-0.0208 -1.1611 5.5722
Li Cd Pt
2 2 2
Direct
0.1603 0.3190 0.3228 Li
0.8397 0.6810 0.6772 Li
0.1628 0.3272 0.8083 Cd
0.8372 0.6728 0.1917 Cd
0.5000 0.0000 0.0000 Pt
0.5000 0.0000 0.5000 Pt
```

Output
polymorph energy (0 for the lowest one)	0.0	kJ per mole of atoms
ΔE_f	-469	meV/atom



[10]
# CdP2Cl

A geometry-optimized CdP2Cl structure (PBE, the Alexandria database).

The structure in POSCAR format:
```
CdP2Cl
1.0
-1.6801 3.7097 4.3630
1.6801 -3.7097 4.3630
1.6801 3.7097 -4.3630
Cd P Cl
1 2 1
Direct
0.0000 0.0000 0.0000 Cd
0.5866 0.5866 0.0000 P
0.7419 0.2419 0.5000 P
0.2170 0.7170 0.5000 Cl
```

Output
polymorph energy (0 for the lowest one)	24.2	kJ per mole of atoms



[11]
# CrFeAs2

A geometry-optimized CrFeAs2 structure (PBE, the Alexandria database).

The structure in POSCAR format:
```
CrFeAs2
1.0
3.5737 -1.5921 0.0000
3.5737 1.5921 0.0000
-1.2782 0.0000 5.2401
Cr Fe As
1 1 2
Direct
0.0000 0.0000 0.0000 Cr
0.5000 0.5000 0.5000 Fe
0.2434 0.2434 0.7258 As
0.7566 0.7566 0.2742 As
```

Output
polymorph energy (0 for the lowest one)	31.9	kJ per mole of atoms
ΔE_f	127	meV/atom



Computed DOS(E_F), in the same sequence as the records: 8.913 0.000 3.237 3.276 5.237 5.224 2.071 10.701 1.576 3.137 3.334 states/eV per cell.